[1]
The following is a DFT calculation (GGA-PBEsol) of an optimized crystal structure of BaAlF5.

Cell: 4.9212 5.5852 13.6919 Å, 90.00 90.00 90.00°
Fractional coordinates of all 28 atoms:
Al  0.1857  0.1505  0.5850
Al  0.6857  0.3495  0.4150
Al  0.8143  0.6505  0.9150
Al  0.3143  0.8495  0.0850
Ba  0.7736  0.6581  0.6571
Ba  0.2736  0.8419  0.3429
Ba  0.2264  0.1581  0.8429
Ba  0.7264  0.3419  0.1571
F  0.5607  0.6055  0.4781
F  0.0607  0.8945  0.5219
F  0.4393  0.1055  0.0219
F  0.9393  0.3945  0.9781
F  0.8645  0.5418  0.3314
F  0.3645  0.9582  0.6686
F  0.1355  0.0418  0.1686
F  0.6355  0.4582  0.8314
F  0.3011  0.4135  0.6470
F  0.8011  0.0865  0.3530
F  0.6989  0.9135  0.8530
F  0.1989  0.5865  0.1470
F  0.9035  0.1476  0.6707
F  0.4035  0.3524  0.3293
F  0.0965  0.6476  0.8293
F  0.5965  0.8524  0.1707
F  0.9745  0.3422  0.5021
F  0.4745  0.1578  0.4979
F  0.0255  0.8422  0.9979
F  0.5255  0.6578  0.0021

Output
Calculated volume   94 Å³/f.u.
Total energy   -6.03 eV per atom
Space-group type   P2_12_12_1 (19)
Excess energy over the best structure of this formula in the dataset   0.0 meV/atom
Uncorrected formation energy   -3764 meV/atom

=====

[2]
The following is a DFT calculation (GGA-PBEsol) of an optimized crystal structure of BaAlF5.

Cell: 5.2414 7.3754 9.6794 Å, 90.00 90.00 91.14°
Fractional coordinates of all 28 atoms:
Al  0.0198  0.5752  0.3695
Al  0.9802  0.4248  0.8695
Al  0.5287  0.8696  0.2650
Al  0.4713  0.1304  0.7650
Ba  0.0138  0.8864  0.9983
Ba  0.9862  0.1136  0.4983
Ba  0.4831  0.6412  0.6545
Ba  0.5169  0.3588  0.1545
F  0.2504  0.5295  0.9514
F  0.7496  0.4705  0.4514
F  0.2441  0.9459  0.7476
F  0.7559  0.0541  0.2476
F  0.7680  0.5594  0.9697
F  0.2320  0.4406  0.4697
F  0.2747  0.0287  0.2660
F  0.7253  0.9713  0.7660
F  0.0549  0.7600  0.4855
F  0.9451  0.2400  0.9855
F  0.5110  0.8436  0.0823
F  0.4890  0.1564  0.5823
F  0.9847  0.5999  0.7413
F  0.0153  0.4001  0.2413
F  0.4321  0.1374  0.9461
F  0.5679  0.8626  0.4461
F  0.3022  0.6724  0.2711
F  0.6978  0.3276  0.7711
F  0.8050  0.7062  0.2532
F  0.1950  0.2938  0.7532

Output
Calculated volume   94 Å³/f.u.
Total energy   -6.02 eV per atom
Space-group type   P2_1 (4)
Excess energy over the best structure of this formula in the dataset   11.5 meV/atom
Uncorrected formation energy   -3753 meV/atom

=====

[3]
The following is a DFT calculation (GGA-PBEsol) of an optimized crystal structure of Ba4TiAl3P4O20F4.

Cell: 5.1988 6.9809 12.6164 Å, 90.06 90.15 101.52°
Fractional coordinates of all 36 atoms:
Ba  0.9524  0.8085  0.8043
Ba  0.4569  0.3066  0.6970
Ba  0.0476  0.1915  0.1957
Ba  0.5431  0.6934  0.3030
Ti  0.0000  0.0000  0.5000
Al  0.5000  0.0000  0.0000
Al  0.0000  0.5000  0.5000
Al  0.5000  0.5000  0.0000
P  0.4293  0.7975  0.6147
P  0.9312  0.3014  0.8905
P  0.5707  0.2025  0.3853
P  0.0688  0.6986  0.1095
O  0.7314  0.4415  0.8860
O  0.2268  0.9369  0.6191
O  0.2686  0.5585  0.1140
O  0.7732  0.0631  0.3809
O  0.5791  0.7600  0.9586
O  0.0756  0.2626  0.5444
O  0.4209  0.2400  0.0414
O  0.9244  0.7374  0.4556
O  0.6962  0.9382  0.5953
O  0.2076  0.4295  0.9114
O  0.3038  0.0618  0.4047
O  0.7924  0.5705  0.0886
O  0.8508  0.1503  0.9809
O  0.3532  0.6484  0.5237
O  0.1492  0.8497  0.0191
O  0.6468  0.3516  0.4763
O  0.4353  0.6964  0.7214
O  0.9367  0.1993  0.7837
O  0.5647  0.3036  0.2786
O  0.0633  0.8007  0.2163
F  0.8996  0.5449  0.6352
F  0.4088  0.0376  0.8636
F  0.1004  0.4551  0.3648
F  0.5912  0.9624  0.1364

Output
Calculated volume   449 Å³/f.u.
Total energy   -7.36 eV per atom
Space-group type   P-1 (2)
Uncorrected formation energy   -2778 meV/atom

=====

[4]
The following is a DFT calculation (GGA-PBEsol) of an optimized crystal structure of BaSr11Al4O16F4.

Cell: 6.7580 6.7580 11.1497 Å, 90.00 90.00 90.00°
Fractional coordinates of all 36 atoms:
Ba  0.5000  0.5000  0.0000
Sr  0.6686  0.1670  0.7487
Sr  0.1670  0.6686  0.2513
Sr  0.8330  0.3314  0.2513
Sr  0.3314  0.8330  0.7487
Sr  0.8330  0.6686  0.7487
Sr  0.3314  0.1670  0.2513
Sr  0.6686  0.8330  0.2513
Sr  0.1670  0.3314  0.7487
Sr  0.0000  0.0000  0.5000
Sr  0.0000  0.0000  0.0000
Sr  0.5000  0.5000  0.5000
Al  0.0000  0.5000  0.0000
Al  0.5000  0.0000  0.5000
Al  0.5000  0.0000  0.0000
Al  0.0000  0.5000  0.5000
O  0.6461  0.1383  0.1035
O  0.1427  0.6435  0.6021
O  0.3539  0.8617  0.1035
O  0.8573  0.3565  0.6021
O  0.8617  0.6461  0.1035
O  0.3565  0.1427  0.6021
O  0.1383  0.3539  0.1035
O  0.6435  0.8573  0.6021
O  0.8617  0.3539  0.8965
O  0.3565  0.8573  0.3979
O  0.1383  0.6461  0.8965
O  0.6435  0.1427  0.3979
O  0.6461  0.8617  0.8965
O  0.1427  0.3565  0.3979
O  0.3539  0.1383  0.8965
O  0.8573  0.6435  0.3979
F  0.5000  0.5000  0.2561
F  0.0000  0.0000  0.7460
F  0.0000  0.0000  0.2540
F  0.5000  0.5000  0.7439

Output
Calculated volume   509 Å³/f.u.
Total energy   -6.73 eV per atom
Space-group type   P422 (89)
Uncorrected formation energy   -3109 meV/atom

=====

[5]
The following is a DFT calculation (GGA-PBEsol) of an optimized crystal structure of BaAlPF2.

Cell: 4.4368 4.4368 6.1763 Å, 90.00 90.00 90.00°
Fractional coordinates of all 5 atoms:
P  0.0000  0.0000  0.0000
F  0.0000  0.5000  0.0000
F  0.5000  0.0000  0.0000
Ba  0.0000  0.0000  0.5000
Al  0.5000  0.5000  0.5000

Output
Calculated volume   122 Å³/f.u.
Total energy   -3.58 eV per atom
Space-group type   P4/mmm (123)
Uncorrected formation energy   -407 meV/atom

=====

[6]
The following is a DFT calculation (GGA-PBEsol) of an optimized crystal structure of BaAl2SbF.

Cell: 4.7291 4.7291 5.3527 Å, 90.00 90.00 90.00°
Fractional coordinates of all 5 atoms:
Sb  0.0000  0.0000  0.5000
F  0.0000  0.0000  0.0000
Ba  0.5000  0.5000  0.5000
Al  0.0000  0.5000  0.0000
Al  0.5000  0.0000  0.0000

Output
Calculated volume   120 Å³/f.u.
Total energy   -3.92 eV per atom
Space-group type   P4/mmm (123)
Uncorrected formation energy   -556 meV/atom